A plane-wave DFT calculation with PBE-GGA was carried out for a relaxed AcPmHo6 crystal.

The calculation puts the total magnetic moment at 0.00 μB/cell. Its energy relative to the lowest polymorph listed for this composition is 0.000 eV per atom. The uncorrected energy is -4.4969 eV/atom. For the calculated formation energy, the calculation gives 0.35 eV/f.u.

a b c (Å): 5.087 5.087 10.181
angles (deg): 90.00 90.00 90.00
Sites, in units of the cell vectors:
Ho: 0.500 0.000 0.257
Ho: 0.500 0.000 0.743
Ho: 0.000 0.500 0.257
Ho: 0.500 0.500 0.500
Ho: 0.500 0.500 0.000
Ho: 0.000 0.500 0.743
Pm: 0.000 0.000 0.500
Ac: 0.000 0.000 0.000

=====

A plane-wave DFT calculation with PBE-GGA was carried out for a relaxed NdDyRu2 crystal.

The calculation puts the total magnetic moment at 0.00 μB/cell. The uncorrected energy is -7.1666 eV/atom. For the calculated formation energy, the calculation gives -0.74 eV/f.u.

a b c (Å): 3.453 3.453 6.916
angles (deg): 90.00 90.00 90.00
Sites, in units of the cell vectors:
Ru: 0.000 0.000 0.243
Ru: 0.000 0.000 0.757
Nd: 0.500 0.500 0.500
Dy: 0.500 0.500 0.000

=====

A plane-wave DFT calculation with PBE-GGA was carried out for a relaxed SrHf2SiAs crystal.

The calculation puts the total magnetic moment at 0.00 μB/cell. The calculation puts the formation energy (no corrections) at 0.383 eV/atom. The uncorrected energy is -5.9491 eV/atom.

a b c (Å): 5.090 5.084 5.090
angles (deg): 90.00 90.00 90.00
Sites, in units of the cell vectors:
As: 0.000 0.000 0.000
Sr: 0.500 0.500 0.500
Hf: 0.500 0.000 0.000
Hf: 0.000 0.000 0.500
Si: 0.000 0.500 0.000

=====

A plane-wave DFT calculation with PBE-GGA was carried out for a relaxed Na3In3SiSe8 crystal.

The calculation puts the total magnetic moment at 0.00 μB/cell. The calculation puts the formation energy (no corrections) at -0.683 eV/atom. The uncorrected energy is -3.7146 eV/atom.

a b c (Å): 7.858 7.858 8.499
angles (deg): 117.54 90.00 120.00
Sites, in units of the cell vectors:
In: 0.500 0.000 0.500
In: 0.500 0.500 0.500
In: 0.000 0.500 0.500
Se: 0.220 0.986 0.706
Se: 0.766 0.986 0.706
Se: 0.261 0.521 0.282
Se: 0.780 0.014 0.294
Se: 0.780 0.560 0.294
Se: 0.739 0.479 0.718
Se: 0.234 0.014 0.294
Se: 0.220 0.440 0.706
Na: 0.500 0.500 0.000
Na: 0.000 0.500 0.000
Na: 0.000 0.000 0.000
Si: 0.000 0.000 0.500